This record from Alexandria describes a geometry-optimized SbMoSe2O structure. The functional is PBEsol.

N(E_F)	2.9	states/eV/cell
calculated total energy	-26.698	eV/cell
formation energy (no corrections)	0.5154	eV/atom
space-group type	No. 123

Unit cell a=4.4751 b=4.4349 c=4.4349 alpha=90.00 beta=90.00 gamma=90.00
With the nearest neighbours (Å) after each atom.
Fractional coordinates of all 5 atoms:
Sb 0.5000 0.0000 0.0000  2 O 2.24
Mo 0.5000 0.5000 0.5000  4 Sb 3.14, 8 Se 3.15
O 0.0000 0.0000 0.0000  4 Se 2.22, 2 Sb 2.24
Se 0.0000 0.0000 0.5000  2 O 2.22
Se 0.0000 0.5000 0.0000  2 O 2.22